First-principles (PBE-GGA) data for a geometry-optimized BaSn2As2 structure, as listed in the Alexandria database.

Cell: 8.752 8.752 3.930 Å, 90.00 90.00 90.00°
Fractional positions:
Ba 0.000 0.000 0.000
Ba 0.500 0.500 0.000
Sn 0.117 0.383 0.000
Sn 0.383 0.883 0.000
Sn 0.617 0.117 0.000
Sn 0.883 0.617 0.000
As 0.231 0.731 0.500
As 0.269 0.231 0.500
As 0.731 0.769 0.500
As 0.769 0.269 0.500

Results
crystal system	tetragonal
total moment	0.000	μB/cell
ΔH_f (0 K)	-0.2385	eV per atom

=====

First-principles (PBE-GGA) data for a geometry-optimized LaCe3Ho2S6 structure, as listed in the Alexandria database.

Cell: 6.924 6.924 6.957 Å, 99.59 99.59 120.03°
Fractional positions:
La 0.000 0.000 0.000
Ce 0.162 0.838 0.500
Ce 0.500 0.500 0.500
Ce 0.838 0.162 0.500
Ho 0.333 0.667 0.000
Ho 0.667 0.333 0.000
S 0.082 0.427 0.245
S 0.266 0.266 0.760
S 0.427 0.082 0.245
S 0.573 0.918 0.755
S 0.734 0.734 0.240
S 0.918 0.573 0.755

Results
crystal system	monoclinic
energy relative to the elements, uncorrected	-2.039	eV/atom
total moment	2.503	μB/cell

=====

What Fermi-level density of states values result from the calculations? In sequence: 7.24, 16.30 states/eV/cell.